Entry 1:
The following is a DFT calculation (PBE-GGA) of a relaxed Tm12Pd6Pt crystal.

Summary:
Mass density: 9.20 g/cm³
Energy of formation from the pure elements: -0.627 eV per atom
Space group: R-3
E_tot: -5.4090 eV/atom

Cell lengths 8.1643, 8.1643, 8.1643 Å; angles 99.94, 99.94, 99.94 degrees
Positions (direct):
1 Tm 0.8213 0.5841 0.4288
2 Tm 0.4288 0.8213 0.5841
3 Tm 0.5841 0.4288 0.8213
4 Tm 0.1787 0.4159 0.5712
5 Tm 0.5712 0.1787 0.4159
6 Tm 0.4159 0.5712 0.1787
7 Tm 0.0800 0.9533 0.3242
8 Tm 0.0467 0.6758 0.9200
9 Tm 0.6758 0.9200 0.0467
10 Tm 0.9200 0.0467 0.6758
11 Tm 0.9533 0.3242 0.0800
12 Tm 0.3242 0.0800 0.9533
13 Pd 0.6851 0.8655 0.3787
14 Pd 0.6213 0.3149 0.1345
15 Pd 0.1345 0.6213 0.3149
16 Pd 0.3149 0.1345 0.6213
17 Pd 0.3787 0.6851 0.8655
18 Pd 0.8655 0.3787 0.6851
19 Pt 0.0000 0.0000 0.0000



Entry 2:
The following is a DFT calculation (PBE-GGA) of a relaxed Tm3PdPt3 crystal.

Summary:
Mass density: 13.67 g/cm³
Energy of formation from the pure elements: -1.112 eV per atom
Space group: P2_13
E_tot: -6.3591 eV/atom

Cell lengths 8.3515, 8.3515, 8.3515 Å; angles 90.00, 90.00, 90.00 degrees
Positions (direct):
1 Tm 0.7285 0.6246 0.0047
2 Tm 0.8754 0.9953 0.2285
3 Tm 0.0047 0.7285 0.6246
4 Tm 0.1246 0.4953 0.2715
5 Tm 0.2715 0.1246 0.4953
6 Tm 0.2285 0.8754 0.9953
7 Tm 0.9953 0.2285 0.8754
8 Tm 0.3754 0.5047 0.7715
9 Tm 0.4953 0.2715 0.1246
10 Tm 0.6246 0.0047 0.7285
11 Tm 0.7715 0.3754 0.5047
12 Tm 0.5047 0.7715 0.3754
13 Pd 0.0695 0.5695 0.9305
14 Pd 0.9305 0.0695 0.5695
15 Pd 0.4305 0.4305 0.4305
16 Pd 0.5695 0.9305 0.0695
17 Pt 0.8398 0.3398 0.1602
18 Pt 0.8974 0.8974 0.8974
19 Pt 0.8334 0.6666 0.3334
20 Pt 0.1602 0.8398 0.3398
21 Pt 0.1666 0.1666 0.1666
22 Pt 0.3334 0.8334 0.6666
23 Pt 0.1026 0.3974 0.6026
24 Pt 0.3398 0.1602 0.8398
25 Pt 0.6666 0.3334 0.8334
26 Pt 0.6602 0.6602 0.6602
27 Pt 0.6026 0.1026 0.3974
28 Pt 0.3974 0.6026 0.1026



Entry 3:
The following is a DFT calculation (PBE-GGA) of a relaxed Tm2Pd8Pt crystal.

Summary:
Mass density: 12.31 g/cm³
Energy of formation from the pure elements: -0.554 eV per atom
Space group: C2/m
E_tot: -5.6928 eV/atom

Cell lengths 4.1925, 6.4859, 7.5130 Å; angles 107.18, 106.20, 90.00 degrees
Positions (direct):
1 Tm 0.7833 0.3344 0.5666
2 Tm 0.2167 0.6656 0.4334
3 Pd 0.4068 0.5594 0.8137
4 Pd 0.6703 0.9006 0.3405
5 Pd 0.8580 0.8176 0.7159
6 Pd 0.9637 0.2718 0.9274
7 Pd 0.1420 0.1824 0.2841
8 Pd 0.3297 0.0994 0.6595
9 Pd 0.5932 0.4406 0.1863
10 Pd 0.0363 0.7282 0.0726
11 Pt 0.5000 0.0000 0.0000



Entry 4:
The following is a DFT calculation (PBE-GGA) of a relaxed Tm6Pd5Pt crystal.

Summary:
Mass density: 10.42 g/cm³
Energy of formation from the pure elements: -0.830 eV per atom
Space group: C2/m
E_tot: -5.7328 eV/atom

Cell lengths 6.9340, 7.0133, 6.9941 Å; angles 59.91, 80.36, 70.48 degrees
Positions (direct):
1 Tm 0.7551 0.0805 0.3299
2 Tm 0.2449 0.5896 0.3299
3 Tm 0.2538 0.2431 0.0000
4 Tm 0.7462 0.7569 0.0000
5 Tm 0.7551 0.4104 0.6701
6 Tm 0.2449 0.9195 0.6701
7 Pd 0.5000 0.1707 0.6585
8 Pd 0.0000 0.3362 0.3277
9 Pd 0.5000 0.5000 0.0000
10 Pd 0.0000 0.6638 0.6723
11 Pd 0.5000 0.8293 0.3415
12 Pt 0.0000 0.0000 0.0000



Entry 5:
The following is a DFT calculation (PBE-GGA) of a relaxed Tm2Pd3Pt3 crystal.

Summary:
Mass density: 15.07 g/cm³
Energy of formation from the pure elements: -1.001 eV per atom
Space group: Pmmm
E_tot: -6.3318 eV/atom

Cell lengths 4.1104, 4.0871, 8.1480 Å; angles 90.00, 90.00, 90.00 degrees
Positions (direct):
1 Tm 0.0000 0.0000 0.7503
2 Tm 0.0000 0.0000 0.2497
3 Pd 0.5000 0.0000 0.5000
4 Pd 0.0000 0.5000 0.0000
5 Pd 0.0000 0.5000 0.5000
6 Pt 0.5000 0.5000 0.7496
7 Pt 0.5000 0.5000 0.2504
8 Pt 0.5000 0.0000 0.0000



Entry 6:
The following is a DFT calculation (PBE-GGA) of a relaxed Tm2Pd9Pt crystal.

Summary:
Mass density: 12.45 g/cm³
Energy of formation from the pure elements: -0.609 eV per atom
Space group: P4/mmm
E_tot: -5.7518 eV/atom

Cell lengths 4.0392, 4.0392, 12.1892 Å; angles 90.00, 90.00, 90.00 degrees
Positions (direct):
1 Tm 0.0000 0.0000 0.3298
2 Tm 0.0000 0.0000 0.6702
3 Pd 0.5000 0.5000 0.0000
4 Pd 0.5000 0.5000 0.3298
5 Pd 0.5000 0.5000 0.6702
6 Pd 0.5000 0.0000 0.1604
7 Pd 0.5000 0.0000 0.5000
8 Pd 0.5000 0.0000 0.8396
9 Pd 0.0000 0.5000 0.1604
10 Pd 0.0000 0.5000 0.5000
11 Pd 0.0000 0.5000 0.8396
12 Pt 0.0000 0.0000 0.0000



Entry 7:
The following is a DFT calculation (PBE-GGA) of a relaxed Tm3Pd5Pt crystal.

Summary:
Mass density: 12.29 g/cm³
Energy of formation from the pure elements: -0.961 eV per atom
Space group: P6_3/mcm
E_tot: -6.0077 eV/atom

Cell lengths 5.6783, 8.2346, 8.2364 Å; angles 119.99, 90.00, 90.00 degrees
Positions (direct):
1 Tm 0.7500 0.3160 0.3160
2 Tm 0.7500 0.0001 0.6840
3 Tm 0.7500 0.6841 0.0000
4 Tm 0.2500 0.6840 0.6840
5 Tm 0.2500 0.9999 0.3160
6 Tm 0.2500 0.3159 0.0000
7 Pd 0.0000 0.6667 0.3334
8 Pd 0.5000 0.3333 0.6666
9 Pd 0.0000 0.3333 0.6666
10 Pd 0.5000 0.6667 0.3334
11 Pd 0.7500 0.6454 0.6454
12 Pd 0.7500 0.0000 0.3546
13 Pd 0.7500 0.3546 0.0000
14 Pd 0.2500 0.3546 0.3546
15 Pd 0.2500 0.0000 0.6454
16 Pd 0.2500 0.6454 0.0000
17 Pt 0.0000 0.0000 0.0000
18 Pt 0.5000 0.0000 0.0000



Entry 8:
The following is a DFT calculation (PBE-GGA) of a relaxed TmPd3Pt3 crystal.

Summary:
Mass density: 15.31 g/cm³
Energy of formation from the pure elements: -0.530 eV per atom
Space group: P6_3/m
E_tot: -5.9835 eV/atom

Cell lengths 4.6628, 7.5934, 7.5934 Å; angles 120.00, 90.00, 90.00 degrees
Positions (direct):
1 Tm 0.2500 0.6667 0.3333
2 Tm 0.7500 0.3333 0.6667
3 Pd 0.2500 0.8014 0.7663
4 Pd 0.2500 0.2337 0.0351
5 Pd 0.2500 0.9649 0.1986
6 Pd 0.7500 0.1986 0.2337
7 Pd 0.7500 0.7663 0.9649
8 Pd 0.7500 0.0351 0.8014
9 Pt 0.7500 0.6238 0.5398
10 Pt 0.7500 0.4602 0.0840
11 Pt 0.7500 0.9160 0.3762
12 Pt 0.2500 0.3762 0.4602
13 Pt 0.2500 0.5398 0.9160
14 Pt 0.2500 0.0840 0.6238



Entry 9:
The following is a DFT calculation (PBE-GGA) of a relaxed TmPdPt4 crystal.

Summary:
Mass density: 17.48 g/cm³
Energy of formation from the pure elements: -0.658 eV per atom
Space group: P2_1/m
E_tot: -6.2955 eV/atom

Cell lengths 5.0038, 5.6986, 7.2555 Å; angles 90.00, 104.17, 90.00 degrees
Positions (direct):
1 Tm 0.2798 0.7500 0.3397
2 Tm 0.7202 0.2500 0.6603
3 Pd 0.7369 0.7500 0.6583
4 Pd 0.2631 0.2500 0.3417
5 Pt 0.2257 0.5003 0.6769
6 Pt 0.7743 0.0003 0.3231
7 Pt 0.2257 0.9997 0.6769
8 Pt 0.7743 0.4997 0.3231
9 Pt 0.0000 0.5000 0.0000
10 Pt 0.0000 0.0000 0.0000
11 Pt 0.5039 0.7500 0.9960
12 Pt 0.4961 0.2500 0.0040



Entry 10:
The following is a DFT calculation (PBE-GGA) of a relaxed TmPd12Pt6 crystal.

Summary:
Mass density: 13.91 g/cm³
Energy of formation from the pure elements: -0.075 eV per atom
Space group: R-3m
E_tot: -5.4976 eV/atom

Cell lengths 6.9652, 6.9652, 6.9652 Å; angles 101.91, 101.91, 101.91 degrees
Positions (direct):
1 Tm 0.0000 0.0000 0.0000
2 Pd 0.8138 0.4118 0.4118
3 Pd 0.4118 0.8138 0.4118
4 Pd 0.4118 0.4118 0.8138
5 Pd 0.1862 0.5882 0.5882
6 Pd 0.5882 0.1862 0.5882
7 Pd 0.5882 0.5882 0.1862
8 Pd 0.0000 0.7362 0.2638
9 Pd 0.2638 0.7362 0.0000
10 Pd 0.7362 0.0000 0.2638
11 Pd 0.0000 0.2638 0.7362
12 Pd 0.7362 0.2638 0.0000
13 Pd 0.2638 0.0000 0.7362
14 Pt 0.8283 0.8283 0.5756
15 Pt 0.4244 0.1717 0.1717
16 Pt 0.1717 0.4244 0.1717
17 Pt 0.1717 0.1717 0.4244
18 Pt 0.5756 0.8283 0.8283
19 Pt 0.8283 0.5756 0.8283



Entry 11:
The following is a DFT calculation (PBE-GGA) of a relaxed Tm4Pd6Pt7 crystal.

Summary:
Mass density: 14.58 g/cm³
Energy of formation from the pure elements: -0.836 eV per atom
Space group: Im-3m
E_tot: -6.2081 eV/atom

Cell lengths 7.3462, 7.3462, 7.3462 Å; angles 109.47, 109.47, 109.47 degrees
Positions (direct):
1 Tm 0.5000 0.0000 0.0000
2 Tm 0.5000 0.5000 0.5000
3 Tm 0.0000 0.5000 0.0000
4 Tm 0.0000 0.0000 0.5000
5 Pd 0.6996 0.0000 0.6996
6 Pd 0.6996 0.6996 0.0000
7 Pd 0.0000 0.3004 0.3004
8 Pd 0.3004 0.0000 0.3004
9 Pd 0.3004 0.3004 0.0000
10 Pd 0.0000 0.6996 0.6996
11 Pt 0.7500 0.5000 0.2500
12 Pt 0.2500 0.7500 0.5000
13 Pt 0.5000 0.7500 0.2500
14 Pt 0.7500 0.2500 0.5000
15 Pt 0.2500 0.5000 0.7500
16 Pt 0.5000 0.2500 0.7500
17 Pt 0.0000 0.0000 0.0000



Entry 12:
The following is a DFT calculation (PBE-GGA) of a relaxed TmPd6Pt2 crystal.

Summary:
Mass density: 9.66 g/cm³
Energy of formation from the pure elements: 0.539 eV per atom
Space group: P4_2/mnm
E_tot: -4.7618 eV/atom

Cell lengths 5.1376, 5.1376, 15.5943 Å; angles 90.00, 90.00, 90.00 degrees
Positions (direct):
1 Tm 0.5000 0.5000 0.0000
2 Tm 0.0000 0.0000 0.5000
3 Pd 0.6840 0.6840 0.2145
4 Pd 0.6840 0.6840 0.7855
5 Pd 0.6738 0.6738 0.5000
6 Pd 0.8262 0.1738 0.0000
7 Pd 0.8160 0.1840 0.2855
8 Pd 0.8160 0.1840 0.7145
9 Pd 0.1840 0.8160 0.2855
10 Pd 0.1840 0.8160 0.7145
11 Pd 0.1738 0.8262 0.0000
12 Pd 0.3262 0.3262 0.5000
13 Pd 0.3160 0.3160 0.2145
14 Pd 0.3160 0.3160 0.7855
15 Pt 0.5000 0.5000 0.3590
16 Pt 0.5000 0.5000 0.6410
17 Pt 0.0000 0.0000 0.1410
18 Pt 0.0000 0.0000 0.8590



Entry 13:
The following is a DFT calculation (PBE-GGA) of a relaxed TmPd3Pt crystal.

Summary:
Mass density: 12.70 g/cm³
Energy of formation from the pure elements: -0.611 eV per atom
Space group: P2/c
E_tot: -5.8295 eV/atom

Cell lengths 5.1203, 5.3642, 7.8775 Å; angles 90.00, 90.00, 55.70 degrees
Positions (direct):
1 Tm 0.5000 0.0000 0.7050
2 Tm 0.0000 0.5000 0.2950
3 Pd 0.3323 0.8519 0.3740
4 Pd 0.1677 0.6481 0.6260
5 Pd 0.8323 0.3519 0.6260
6 Pd 0.6677 0.1481 0.3740
7 Pd 0.0000 0.0000 0.9235
8 Pd 0.5000 0.5000 0.0765
9 Pt 0.5000 0.0000 0.0809
10 Pt 0.0000 0.5000 0.9191



Entry 14:
The following is a DFT calculation (PBE-GGA) of a relaxed TmPd7Pt4 crystal.

Summary:
Mass density: 13.52 g/cm³
Energy of formation from the pure elements: -0.049 eV per atom
Space group: C2/m
E_tot: -5.4639 eV/atom

Cell lengths 4.9067, 8.7258, 5.6289 Å; angles 83.74, 64.16, 73.67 degrees
Positions (direct):
1 Tm 0.0000 0.0000 0.0000
2 Pd 0.7917 0.9176 0.4990
3 Pd 0.2083 0.0824 0.5010
4 Pd 0.0335 0.6213 0.3118
5 Pd 0.9665 0.3787 0.6882
6 Pd 0.3403 0.5506 0.7687
7 Pd 0.5000 0.0000 0.0000
8 Pd 0.6597 0.4494 0.2313
9 Pt 0.5767 0.2308 0.6159
10 Pt 0.4233 0.7692 0.3841
11 Pt 0.7247 0.6844 0.8662
12 Pt 0.2753 0.3156 0.1338



Entry 15:
The following is a DFT calculation (PBE-GGA) of a relaxed TmPdPt4 crystal.

Summary:
Mass density: 16.58 g/cm³
Energy of formation from the pure elements: -0.687 eV per atom
Space group: F-43m
E_tot: -6.3247 eV/atom

Cell lengths 5.3077, 5.3077, 5.3077 Å; angles 60.00, 60.00, 60.00 degrees
Positions (direct):
1 Tm 0.2500 0.2500 0.2500
2 Pd 0.0000 0.0000 0.0000
3 Pt 0.6253 0.6253 0.1241
4 Pt 0.6253 0.1241 0.6253
5 Pt 0.6253 0.6253 0.6253
6 Pt 0.1241 0.6253 0.6253



Entry 16:
The following is a DFT calculation (PBE-GGA) of a relaxed Tm5Pd4Pt crystal.

Summary:
Mass density: 11.74 g/cm³
Energy of formation from the pure elements: -1.007 eV per atom
Space group: P4/mmm
E_tot: -5.9238 eV/atom

Cell lengths 3.4438, 3.4438, 17.4803 Å; angles 90.00, 90.00, 90.00 degrees
Positions (direct):
1 Tm 0.5000 0.5000 0.0977
2 Tm 0.5000 0.5000 0.2993
3 Tm 0.5000 0.5000 0.5000
4 Tm 0.5000 0.5000 0.7007
5 Tm 0.5000 0.5000 0.9023
6 Pd 0.0000 0.0000 0.2004
7 Pd 0.0000 0.0000 0.3998
8 Pd 0.0000 0.0000 0.6002
9 Pd 0.0000 0.0000 0.7996
10 Pt 0.0000 0.0000 0.0000



Entry 17:
The following is a DFT calculation (PBE-GGA) of a relaxed Tm4PdPt crystal.

Summary:
Mass density: 10.30 g/cm³
Energy of formation from the pure elements: -0.723 eV per atom
Space group: P4/mmm
E_tot: -5.5764 eV/atom

Cell lengths 4.8104, 4.8119, 6.8079 Å; angles 89.97, 89.98, 90.00 degrees
Positions (direct):
1 Tm 0.5012 0.9969 0.2511
2 Tm 0.5014 0.9976 0.7451
3 Tm 0.0015 0.4976 0.7451
4 Tm 0.0011 0.4970 0.2512
5 Pd 0.5013 0.4973 0.9981
6 Pt 0.0013 0.9973 0.4981



Entry 18:
The following is a DFT calculation (PBE-GGA) of a relaxed TmPd6Pt3 crystal.

Summary:
Mass density: 13.31 g/cm³
Energy of formation from the pure elements: -0.236 eV per atom
Space group: P2_1/m
E_tot: -5.6115 eV/atom

Cell lengths 4.0510, 8.8105, 10.5537 Å; angles 112.71, 90.00, 90.00 degrees
Positions (direct):
1 Tm 0.7500 0.0394 0.7501
2 Tm 0.2500 0.9606 0.2499
3 Pd 0.7500 0.4324 0.6376
4 Pd 0.2500 0.5676 0.3624
5 Pd 0.7500 0.7659 0.0460
6 Pd 0.2500 0.2341 0.9540
7 Pd 0.7500 0.4266 0.1645
8 Pd 0.2500 0.5734 0.8355
9 Pd 0.7500 0.7644 0.3065
10 Pd 0.2500 0.2356 0.6935
11 Pd 0.7500 0.0994 0.4825
12 Pd 0.2500 0.9006 0.5175
13 Pd 0.7500 0.7476 0.7874
14 Pd 0.2500 0.2524 0.2126
15 Pt 0.7500 0.4083 0.8964
16 Pt 0.2500 0.5917 0.1036
17 Pt 0.7500 0.6911 0.5330
18 Pt 0.2500 0.3089 0.4670
19 Pt 0.7500 0.0918 0.0645
20 Pt 0.2500 0.9082 0.9355



Entry 19:
The following is a DFT calculation (PBE-GGA) of a relaxed Tm2Pd2Pt3 crystal.

Summary:
Mass density: 14.75 g/cm³
Energy of formation from the pure elements: -0.871 eV per atom
Space group: C2/m
E_tot: -6.2208 eV/atom

Cell lengths 4.9453, 4.6250, 7.0629 Å; angles 78.29, 110.49, 122.32 degrees
Positions (direct):
1 Tm 0.7386 0.3075 0.1698
2 Tm 0.2614 0.6925 0.8302
3 Pd 0.1596 0.9000 0.4192
4 Pd 0.8404 0.1000 0.5808
5 Pt 0.0000 0.0000 0.0000
6 Pt 0.5647 0.4090 0.7205
7 Pt 0.4353 0.5910 0.2795